one:
Compound: Pd2WSe6
Source: Alexandria via LeMat-Bulk
Functional: PBE
Structure: relaxed

Crystal system   monoclinic

abc: 3.6130 8.6726 6.6626
angles: 100.61 105.73 90.00
Fractional coordinates of all 9 atoms:
Se: 0.3581 0.4752 0.7163
Se: 0.0318 0.8023 0.0636
Se: 0.6935 0.1295 0.3869
Se: 0.9682 0.1977 0.9364
Se: 0.6419 0.5248 0.2837
Se: 0.3065 0.8705 0.6131
Pd: 0.1669 0.3314 0.3339
Pd: 0.8331 0.6686 0.6661
W: 0.5000 0.0000 0.0000

---

two:
Compound: Pd2WSe6
Source: Alexandria via LeMat-Bulk
Functional: PBE
Structure: relaxed

Crystal system   monoclinic

abc: 6.5725 7.0891 9.3332
angles: 90.00 77.50 90.00
Fractional coordinates of all 18 atoms:
Se: 0.3205 0.7994 0.1166
Se: 0.8515 0.9346 0.2822
Se: 0.6724 0.1865 0.6127
Se: 0.1795 0.2994 0.3834
Se: 0.3515 0.5654 0.7822
Se: 0.1724 0.3135 0.1127
Se: 0.6795 0.2006 0.8834
Se: 0.3276 0.8135 0.3873
Se: 0.1485 0.0654 0.7178
Se: 0.8205 0.7006 0.6166
Se: 0.6485 0.4346 0.2178
Se: 0.8276 0.6865 0.8873
Pd: 0.5192 0.1181 0.3317
Pd: 0.9808 0.6181 0.1683
Pd: 0.4808 0.8819 0.6683
Pd: 0.0192 0.3819 0.8317
W: 0.0000 0.0000 0.5000
W: 0.5000 0.5000 0.0000

---

Going by the energies, one is most stable and the next is 7.1 kJ/mol of atoms up.

---

one:
Compound: Pd3WSe
Source: Alexandria via LeMat-Bulk
Functional: PBE
Structure: relaxed

Crystal system   cubic

abc: 4.8370 4.8370 4.8370
angles: 90.00 90.00 90.00
Fractional coordinates of all 5 atoms:
Pd: 0.0000 0.0000 0.5000
Pd: 0.0000 0.5000 0.0000
Pd: 0.5000 0.0000 0.0000
Se: 0.5000 0.5000 0.5000
W: 0.0000 0.0000 0.0000

---

two:
Compound: Pd3WSe
Source: Alexandria via LeMat-Bulk
Functional: PBE
Structure: relaxed

Crystal system   cubic

abc: 4.6384 4.6384 4.6384
angles: 90.00 90.00 90.00
Fractional coordinates of all 5 atoms:
Pd: 0.0000 0.0000 0.5000
Pd: 0.0000 0.5000 0.0000
Pd: 0.5000 0.0000 0.0000
Se: 0.0000 0.0000 0.0000
W: 0.5000 0.5000 0.5000

---

Going by the energies, two is most stable and the next is 24.2 kJ/mol of atoms up.